# 1
Entry from OQMD: a relaxed LiMg2Ta crystal (PBE).

Energy = -3.640 eV per atom
ρ = 5.3 g cm⁻³
Symmetry = No. 216

Structure (POSCAR):
```
LiMg2Ta
1.0
0.000 3.327 3.327
3.327 0.000 3.327
3.327 3.327 0.000
Ta Mg Li
1 2 1
direct
0.250 0.250 0.250
0.750 0.750 0.750
0.000 0.000 0.000
0.500 0.500 0.500
```

# 2
Entry from OQMD: a relaxed YGaIr2 crystal (PBE).

Energy = -6.964 eV per atom
ρ = 12.8 g cm⁻³
Symmetry = No. 216

Structure (POSCAR):
```
YGaIr2
1.0
0.000 3.276 3.276
3.276 0.000 3.276
3.276 3.276 0.000
Ir Ga Y
2 1 1
direct
0.750 0.750 0.750
0.000 0.000 0.000
0.500 0.500 0.500
0.250 0.250 0.250
```

# 3
Entry from OQMD: a relaxed Zr4FePbC2 crystal (PBE).

Energy = -8.538 eV per atom
ρ = 7.8 g cm⁻³
Symmetry = No. 187

Structure (POSCAR):
```
Zr4FePbC2
1.0
-1.412 2.688 -1.423
-1.511 -1.521 2.579
6.938 8.430 9.036
C Zr Fe Pb
2 4 1 1
direct
0.333 0.667 0.235
0.333 0.667 0.765
0.667 0.333 0.138
0.000 0.000 0.680
0.667 0.333 0.862
0.000 0.000 0.320
0.000 0.000 0.000
0.667 0.333 0.500
```

# 4
Entry from OQMD: a relaxed ScAgBAu crystal (PBE).

Energy = -4.473 eV per atom
ρ = 9.5 g cm⁻³
Symmetry = No. 216
Offset from the most stable computed form = 112 meV/atom

Structure (POSCAR):
```
ScAgBAu
1.0
-3.173 -2.674 -1.666
-4.276 0.615 1.155
-2.918 1.589 -2.992
Ag B Au Sc
1 1 1 1
direct
0.250 0.250 0.250
0.500 0.500 0.500
0.750 0.750 0.750
0.000 0.000 0.000
```

# 5
Entry from OQMD: a relaxed NbAgCl3 crystal (PBE).

Energy = -4.105 eV per atom
ρ = 3.9 g cm⁻³
Symmetry = No. 99
Offset from the most stable computed form = 167 meV/atom

Structure (POSCAR):
```
NbAgCl3
1.0
-1.796 -3.595 3.064
-0.869 -2.971 -3.995
4.684 -1.964 0.441
Nb Cl Ag
1 3 1
direct
0.500 0.500 0.581
0.500 0.000 0.658
0.500 0.500 0.094
0.000 0.500 0.658
0.000 0.000 0.909
```

# 6
Entry from OQMD: a relaxed PrNdSi2Au2 crystal (PBE).

Energy = -5.300 eV per atom
ρ = 9.0 g cm⁻³
Symmetry = No. 164

Structure (POSCAR):
```
PrNdSi2Au2
1.0
4.343 0.000 0.000
-2.172 3.762 0.000
0.000 0.000 8.347
Au Nd Si Pr
2 1 2 1
direct
0.667 0.333 0.750
0.333 0.667 0.250
0.000 0.000 0.500
0.333 0.667 0.750
0.667 0.333 0.250
0.000 0.000 0.000
```

# 7
Entry from OQMD: a relaxed Sm3Zr4 crystal (PBE).

Energy = -6.787 eV per atom
ρ = 7.1 g cm⁻³
Formation energy = 0.811 eV per formula unit
Symmetry = No. 176
Offset from the most stable computed form = 15 meV/atom

Structure (POSCAR):
```
Sm3Zr4
1.0
-5.072 -6.573 -3.483
3.689 -6.097 -5.504
1.156 -3.152 4.266
Sm Zr
6 8
direct
0.224 0.823 0.500
0.667 0.653 0.500
0.130 0.285 0.000
0.857 0.728 0.000
0.299 0.558 0.000
0.394 0.096 0.500
0.592 0.139 0.000
0.984 0.020 0.000
0.932 0.242 0.500
0.540 0.361 0.500
0.710 0.412 0.000
0.095 0.524 0.500
0.429 0.857 0.000
0.814 0.969 0.500
```

# 8
Entry from OQMD: a relaxed Gd3Y3Te2Os crystal (PBE).

Energy = -6.378 eV per atom
ρ = 8.0 g cm⁻³
Symmetry = No. 189
Offset from the most stable computed form = 0 meV/atom

Structure (POSCAR):
```
Gd3Y3Te2Os
1.0
8.339 0.000 0.000
-4.170 7.222 0.000
0.000 0.000 4.077
Te Gd Y Os
2 3 3 1
direct
0.667 0.333 0.500
0.333 0.667 0.500
0.608 0.000 0.000
0.000 0.608 0.000
0.392 0.392 0.000
0.760 0.760 0.500
0.240 0.000 0.500
0.000 0.240 0.500
0.000 0.000 0.000
```

# 9
Entry from OQMD: a relaxed ZrCdNO crystal (PBE).

Energy = -7.027 eV per atom
ρ = 6.1 g cm⁻³
Symmetry = No. 57
Offset from the most stable computed form = 0 meV/atom

Structure (POSCAR):
```
ZrCdNO
1.0
7.373 0.000 0.000
0.000 7.836 0.000
0.000 0.000 4.388
Zr N Cd O
4 4 4 4
direct
0.596 0.883 0.050
0.096 0.117 0.050
0.404 0.117 0.550
0.904 0.883 0.550
0.386 0.077 0.050
0.614 0.923 0.550
0.886 0.923 0.050
0.114 0.077 0.550
0.120 0.639 0.050
0.380 0.639 0.550
0.880 0.361 0.550
0.620 0.361 0.050
0.465 0.363 0.551
0.965 0.637 0.551
0.035 0.363 0.051
0.535 0.637 0.051
```

# 10
Entry from OQMD: a relaxed LuFeSiMo crystal (PBE).

Energy = -7.174 eV per atom
ρ = 9.7 g cm⁻³
Symmetry = No. 216
Offset from the most stable computed form = 0 meV/atom

Structure (POSCAR):
```
LuFeSiMo
1.0
0.000 3.124 3.124
3.124 0.000 3.124
3.124 3.124 0.000
Fe Lu Mo Si
1 1 1 1
direct
0.750 0.750 0.750
0.500 0.500 0.500
0.250 0.250 0.250
0.000 0.000 0.000
```

# 11
Entry from OQMD: a relaxed GdTmNO crystal (PBE).

Energy = -7.788 eV per atom
ρ = 9.1 g cm⁻³
Symmetry = No. 57
Offset from the most stable computed form = 115 meV/atom

Structure (POSCAR):
```
GdTmNO
1.0
-5.206 2.430 3.176
1.341 -5.083 6.087
2.894 3.363 2.171
O Tm Gd N
4 4 4 4
direct
0.597 0.377 0.551
0.097 0.623 0.551
0.903 0.377 0.051
0.403 0.623 0.051
0.429 0.620 0.551
0.571 0.380 0.051
0.071 0.620 0.051
0.929 0.380 0.551
0.581 0.871 0.050
0.081 0.129 0.050
0.419 0.129 0.550
0.919 0.871 0.550
0.064 0.131 0.551
0.436 0.131 0.051
0.936 0.869 0.051
0.564 0.869 0.551
```

# 12
Entry from OQMD: a relaxed LiNbSb crystal (PBE).

Energy = -5.217 eV per atom
ρ = 5.4 g cm⁻³
Symmetry = No. 216
Offset from the most stable computed form = 0 meV/atom

Structure (POSCAR):
```
LiNbSb
1.0
-4.015 -1.686 -1.404
-3.252 2.823 -1.545
-1.069 0.042 -4.448
Li Nb Sb
1 1 1
direct
0.250 0.250 0.250
0.750 0.750 0.750
0.000 0.000 0.000
```

# 13
Entry from OQMD: a relaxed Sn8Os2Se crystal (PBE).

Energy = -5.139 eV per atom
ρ = 8.8 g cm⁻³
Symmetry = No. 136

Structure (POSCAR):
```
Sn8Os2Se
1.0
10.101 0.000 0.000
0.000 7.270 7.270
0.000 -7.270 7.270
Sn Os Se
32 8 4
direct
0.687 0.945 0.700
0.345 0.500 0.500
0.187 0.800 0.445
0.813 0.555 0.200
0.813 0.800 0.445
0.000 0.798 0.202
0.845 0.000 0.000
0.000 0.202 0.798
0.000 0.593 0.593
0.187 0.200 0.555
0.500 0.298 0.298
0.500 0.907 0.093
0.687 0.300 0.055
0.500 0.093 0.907
0.313 0.945 0.700
0.500 0.704 0.296
0.500 0.702 0.702
0.813 0.200 0.555
0.687 0.055 0.300
0.313 0.055 0.300
0.687 0.700 0.945
0.500 0.296 0.704
0.655 0.500 0.500
0.187 0.555 0.200
0.155 0.000 0.000
0.000 0.407 0.407
0.187 0.445 0.800
0.813 0.445 0.800
0.000 0.204 0.204
0.000 0.796 0.796
0.313 0.700 0.945
0.313 0.300 0.055
0.238 0.321 0.321
0.738 0.179 0.821
0.762 0.321 0.321
0.238 0.679 0.679
0.738 0.821 0.179
0.762 0.679 0.679
0.262 0.821 0.179
0.262 0.179 0.821
0.000 0.000 0.500
0.500 0.500 0.000
0.500 0.000 0.500
0.000 0.500 0.000
```

# 14
Entry from OQMD: a relaxed LiZr crystal (PBE).

Energy = -4.864 eV per atom
ρ = 4.4 g cm⁻³
Symmetry = No. 62
Offset from the most stable computed form = 248 meV/atom

Structure (POSCAR):
```
LiZr
1.0
5.481 0.000 0.000
0.000 5.803 0.000
0.000 0.000 4.661
Zr Li
4 4
direct
0.780 0.732 0.500
0.053 0.018 0.000
0.553 0.232 0.000
0.280 0.518 0.500
0.497 0.742 0.000
0.836 0.242 0.500
0.336 0.008 0.500
0.997 0.508 0.000
```

# 15
Entry from OQMD: a relaxed BaCoCuMo crystal (PBE).

Energy = -4.598 eV per atom
ρ = 8.4 g cm⁻³
Symmetry = No. 216
Offset from the most stable computed form = 219 meV/atom

Structure (POSCAR):
```
BaCoCuMo
1.0
3.841 -2.460 -0.806
2.353 -1.847 3.537
-0.009 -4.587 0.644
Co Mo Cu Ba
1 1 1 1
direct
0.500 0.500 0.500
0.000 0.000 0.000
0.750 0.750 0.750
0.250 0.250 0.250
```

# 16
Entry from OQMD: a relaxed LiNiPdPb crystal (PBE).

Energy = -4.297 eV per atom
ρ = 10.3 g cm⁻³
Symmetry = No. 216
Offset from the most stable computed form = 0 meV/atom

Structure (POSCAR):
```
LiNiPdPb
1.0
-1.593 -4.125 0.149
-4.334 -0.678 0.578
-2.462 -1.543 -3.337
Pd Ni Li Pb
1 1 1 1
direct
0.500 0.500 0.500
0.750 0.750 0.750
0.250 0.250 0.250
0.000 0.000 0.000
```

# 17
Entry from OQMD: a relaxed BaPuZn crystal (PBE).

Energy = -5.202 eV per atom
ρ = 7.4 g cm⁻³
Symmetry = No. 216

Structure (POSCAR):
```
BaPuZn
1.0
4.669 1.591 1.726
0.527 4.755 2.103
0.855 0.508 5.130
Pu Ba Zn
1 1 1
direct
0.000 0.000 0.000
0.250 0.250 0.250
0.750 0.750 0.750
```

# 18
Entry from OQMD: a relaxed HoPa crystal (PBE).

Energy = -4.701 eV per atom
ρ = 9.6 g cm⁻³
Formation energy = 4.670 eV per formula unit
Symmetry = No. 216
Offset from the most stable computed form = 2164 meV/atom

Structure (POSCAR):
```
HoPa
1.0
0.000 3.249 3.249
3.249 0.000 3.249
3.249 3.249 0.000
Ho Pa
1 1
direct
0.000 0.000 0.000
0.250 0.250 0.250
```

# 19
Entry from OQMD: a relaxed Lu4FePbN2 crystal (PBE).

Energy = -6.729 eV per atom
ρ = 11.4 g cm⁻³
Symmetry = No. 187
Offset from the most stable computed form = 0 meV/atom

Structure (POSCAR):
```
Lu4FePbN2
1.0
3.394 0.000 0.000
-1.697 2.939 0.000
0.000 0.000 14.486
Lu Pb Fe N
4 1 1 2
direct
0.667 0.333 0.133
0.000 0.000 0.319
0.667 0.333 0.867
0.000 0.000 0.681
0.667 0.333 0.500
0.000 0.000 0.000
0.333 0.667 0.757
0.333 0.667 0.243
```

# 20
Entry from OQMD: a relaxed PuFeCo crystal (PBE).

Energy = -9.104 eV per atom
ρ = 13.1 g cm⁻³
Formation energy = 2.230 eV per formula unit
Symmetry = No. 216
Offset from the most stable computed form = 0 meV/atom

Structure (POSCAR):
```
PuFeCo
1.0
-3.156 0.615 2.387
-3.567 -1.548 -0.958
-1.510 -3.028 2.143
Pu Fe Co
1 1 1
direct
0.500 0.500 0.500
0.250 0.250 0.250
0.000 0.000 0.000
```